No. 1
{
  "formula": "LaSbAsBr2",
  "functional": "GGA-PBE",
  "state": "relaxed",
  "relative_energy_mev_per_atom": 0,
  "crystal_system": "tetragonal",
  "total_energy_ev_per_atom": -3.844,
  "e_form_raw_ev_per_atom": -0.4350,
  "lattice": [[5.6835, 0.0000, 0.0000], [0.0000, 5.6835, 0.0000], [0.0000, 0.0000, 6.2643]],
  "species": ["Br", "Br", "As", "Sb", "La"],
  "fractional_positions": [[0.5000, 0.0000, 0.0000], [0.0000, 0.5000, 0.0000], [0.0000, 0.0000, 0.5000], [0.5000, 0.5000, 0.5000], [0.0000, 0.0000, 0.0000]]
}

=====

No. 2
{
  "formula": "LaSbAsBr2",
  "functional": "GGA-PBE",
  "state": "relaxed",
  "relative_energy_mev_per_atom": 202,
  "crystal_system": "tetragonal",
  "total_energy_ev_per_atom": -3.642,
  "e_form_raw_ev_per_atom": -0.2333,
  "lattice": [[-4.7089, 2.1264, 1.8097], [-2.1364, -5.0283, 0.3492], [1.8135, -0.4094, 5.1999]],
  "species": ["Sb", "La", "As", "Br", "Br"],
  "fractional_positions": [[0.0000, 0.0000, 0.0000], [0.5000, 0.5000, 0.5000], [0.0000, 0.0000, 0.5000], [0.5000, 0.0000, 0.0000], [0.0000, 0.5000, 0.0000]]
}

=====

No. 3
{
  "formula": "La6As2SeBr3",
  "functional": "GGA-PBE",
  "state": "relaxed",
  "crystal_system": "monoclinic",
  "total_energy_ev_per_atom": -5.528,
  "e_form_raw_ev_per_atom": -1.5803,
  "lattice": [[7.5407, -0.0036, -0.0012], [-3.7716, 6.5297, -0.0012], [-1.2583, -2.1787, 7.1779]],
  "species": ["Br", "As", "Br", "La", "As", "Se", "Br", "La", "La", "La", "La", "La"],
  "fractional_positions": [[0.5000, 0.5000, 0.5000], [0.3336, 0.6664, 0.0000], [0.1679, 0.8321, 0.5000], [0.4092, 0.0738, 0.2220], [0.6664, 0.3336, 0.0000], [0.0000, 0.0000, 0.0000], [0.8321, 0.1679, 0.5000], [0.0738, 0.4092, 0.2220], [0.5908, 0.9262, 0.7780], [0.2607, 0.2607, 0.7776], [0.7393, 0.7393, 0.2224], [0.9262, 0.5908, 0.7780]]
}

=====

No. 4
{
  "formula": "La6As3Se2Br",
  "functional": "GGA-PBE",
  "state": "relaxed",
  "crystal_system": "monoclinic",
  "total_energy_ev_per_atom": -6.090,
  "e_form_raw_ev_per_atom": -1.7435,
  "lattice": [[4.3453, 0.0000, 0.0000], [0.0000, 8.7287, 0.3039], [-2.1726, -2.5235, 9.1591]],
  "species": ["La", "La", "Br", "La", "La", "La", "La", "As", "Se", "As", "Se", "As"],
  "fractional_positions": [[0.6740, 0.0817, 0.3479], [0.6657, 0.5883, 0.3314], [0.5000, 0.0000, 0.0000], [0.0016, 0.7323, 0.0032], [0.3343, 0.4117, 0.6686], [0.9984, 0.2677, 0.9968], [0.3260, 0.9183, 0.6521], [0.1645, 0.8338, 0.3290], [0.8341, 0.6684, 0.6683], [0.5000, 0.5000, 0.0000], [0.1659, 0.3316, 0.3317], [0.8355, 0.1662, 0.6710]]
}

=====

No. 5
{
  "formula": "La8As3SeBr4",
  "functional": "GGA-PBE",
  "state": "relaxed",
  "crystal_system": "trigonal",
  "total_energy_ev_per_atom": -5.543,
  "e_form_raw_ev_per_atom": -1.5714,
  "lattice": [[-1.6864, -6.5827, -5.4797], [8.1026, 0.6400, -3.2624], [-1.1610, -1.0622, 8.5865]],
  "species": ["La", "La", "As", "La", "Br", "As", "La", "Br", "La", "La", "Br", "La", "Se", "Br", "La", "As"],
  "fractional_positions": [[0.7383, 0.7215, 0.9799], [0.7403, 0.7209, 0.4806], [0.5000, 0.5000, 0.0000], [0.2416, 0.7215, 0.9799], [0.5000, 0.0000, 0.5000], [0.5000, 0.5000, 0.5000], [0.7584, 0.2785, 0.0201], [0.5000, 0.0000, 0.0000], [0.2597, 0.2791, 0.5194], [0.2617, 0.2785, 0.0201], [0.0000, 0.0000, 0.5000], [0.2416, 0.7215, 0.4832], [0.0000, 0.5000, 0.0000], [0.0000, 0.0000, 0.0000], [0.7584, 0.2785, 0.5168], [0.0000, 0.5000, 0.5000]]
}

=====

No. 6
{
  "formula": "La6AsSe2Br3",
  "functional": "GGA-PBE",
  "state": "relaxed",
  "crystal_system": "monoclinic",
  "total_energy_ev_per_atom": -5.461,
  "e_form_raw_ev_per_atom": -1.6106,
  "lattice": [[-6.0607, -4.1766, -1.4639], [5.3124, 0.8224, -5.2365], [3.6093, -4.6502, 4.7187]],
  "species": ["Se", "Br", "Se", "La", "La", "La", "As", "Br", "Br", "La", "La", "La"],
  "fractional_positions": [[0.6667, 0.3333, 0.0000], [0.5000, 0.5000, 0.5000], [0.3333, 0.6667, 0.0000], [0.4072, 0.0755, 0.2272], [0.0755, 0.4072, 0.2272], [0.2559, 0.2559, 0.7728], [0.0000, 0.0000, 0.0000], [0.1657, 0.8343, 0.5000], [0.8343, 0.1657, 0.5000], [0.5928, 0.9245, 0.7728], [0.9245, 0.5928, 0.7728], [0.7441, 0.7441, 0.2272]]
}

=====

Question: What is the formula in the sixth record?
Answer: La6AsSe2Br3

=====

Question: Which formula does entry 5 have?
Answer: La8As3SeBr4